Entry 1:
This record from Alexandria via LeMat-Bulk describes an optimized crystal structure of CeEr2Ni. The functional is PBE.

Results
The excess energy over the best structure of this formula in the dataset comes out at 0.283 eV per atom. The value obtained for the energy of formation is 81.5 meV per atom.

abc: 3.4224 3.4224 10.5471
angles: 80.66 80.66 60.00
Last column: nearest neighbours and their distance in Å.
Element x y z (fractional)
Ni: 0.5000 0.5000 0.5000  6 Er 2.69
Ce: 0.0000 0.0000 0.0000  2 Er 3.36, 6 Ce 3.42
Er: 0.1081 0.1081 0.6757  3 Ni 2.69
Er: 0.8919 0.8919 0.3243  3 Ni 2.69

Entry 2:
This record from Alexandria via LeMat-Bulk describes an optimized crystal structure of CeEr2Ni2. The functional is PBE.

Results
The value obtained for the energy of formation is -285.2 meV per atom.

abc: 4.2282 5.3673 11.4570
angles: 118.00 90.00 90.00
Last column: nearest neighbours and their distance in Å.
Element x y z (fractional)
Ce: 0.2500 0.8565 0.2034  5 Ni 2.66-2.81
Ce: 0.7500 0.1435 0.7966  5 Ni 2.66-2.81
Er: 0.2500 0.7410 0.8797  4 Ni 2.81-2.89
Er: 0.7500 0.2590 0.1203  4 Ni 2.81-2.89
Er: 0.2500 0.2940 0.5380  4 Ni 2.80-2.91
Er: 0.7500 0.7060 0.4620  4 Ni 2.80-2.91
Ni: 0.2500 0.9035 0.6432  2 Ce 2.66, 4 Er 2.80-2.91
Ni: 0.7500 0.0965 0.3568  2 Ce 2.66, 4 Er 2.80-2.91
Ni: 0.2500 0.3353 0.9789  2 Ni 2.65, 3 Ce 2.77-2.81, 4 Er 2.81-2.89
Ni: 0.7500 0.6647 0.0211  2 Ni 2.65, 3 Ce 2.77-2.81, 4 Er 2.81-2.89

Entry 3:
This record from Alexandria via LeMat-Bulk describes an optimized crystal structure of Ce3ErNi8. The functional is PBE.

Results
The excess energy over the best structure of this formula in the dataset comes out at 0.017 eV per atom. The value obtained for the energy of formation is -383.2 meV per atom.

abc: 5.0433 5.0433 8.4067
angles: 90.00 90.00 120.00
Last column: nearest neighbours and their distance in Å.
Element x y z (fractional)
Ce: 0.6667 0.3333 0.4350  12 Ni 2.95-3.02, 3 Er 3.11, 1 Ce 3.23
Ce: 0.6667 0.3333 0.0504  12 Ni 2.94-3.05, 4 Ce 3.05-3.23
Ce: 0.0000 0.0000 0.9416  12 Ni 2.96-3.01, 3 Ce 3.05, 1 Er 3.17
Er: 0.0000 0.0000 0.5645  12 Ni 2.95-3.00, 4 Ce 3.11-3.17
Ni: 0.3333 0.6667 0.5003  6 Ni 2.52
Ni: 0.3333 0.6667 0.0052  6 Ni 2.53-2.59
Ni: 0.4964 0.9928 0.7475  6 Ni 2.47-2.59
Ni: 0.4964 0.5036 0.7475  6 Ni 2.47-2.59
Ni: 0.0072 0.5036 0.7475  6 Ni 2.47-2.59
Ni: 0.1689 0.3378 0.2535  6 Ni 2.49-2.56
Ni: 0.1689 0.8311 0.2535  6 Ni 2.49-2.56
Ni: 0.6622 0.8311 0.2535  6 Ni 2.49-2.56

Entry 4:
This record from Alexandria via LeMat-Bulk describes an optimized crystal structure of CeErNi. The functional is PBE.

Results
The excess energy over the best structure of this formula in the dataset comes out at 0.000 eV per atom. The value obtained for the energy of formation is -277.0 meV per atom.

abc: 4.3012 7.1509 8.9147
angles: 76.76 90.00 90.00
Last column: nearest neighbours and their distance in Å.
Element x y z (fractional)
Er: 0.2500 0.4544 0.1569  6 Ni 2.79-2.86
Er: 0.7500 0.0456 0.8431  6 Ni 2.79-2.86
Er: 0.7500 0.5456 0.8431  6 Ni 2.79-2.86
Er: 0.2500 0.9544 0.1569  6 Ni 2.79-2.86
Ni: 0.2500 0.2750 0.9093  2 Ni 2.66, 6 Er 2.79-2.86, 1 Ce 2.87
Ni: 0.7500 0.2250 0.0907  2 Ni 2.66, 6 Er 2.79-2.86, 1 Ce 2.87
Ni: 0.7500 0.7250 0.0907  2 Ni 2.66, 6 Er 2.79-2.86, 1 Ce 2.87
Ni: 0.2500 0.7750 0.9093  2 Ni 2.66, 6 Er 2.79-2.86, 1 Ce 2.87
Ce: 0.2500 0.8902 0.5794  2 Ce 2.84, 1 Ni 2.87
Ce: 0.7500 0.6098 0.4206  2 Ce 2.84, 1 Ni 2.87
Ce: 0.7500 0.1098 0.4206  2 Ce 2.84, 1 Ni 2.87
Ce: 0.2500 0.3902 0.5794  2 Ce 2.84, 1 Ni 2.87

Entry 5:
This record from Alexandria via LeMat-Bulk describes an optimized crystal structure of Ce2ErNi9. The functional is PBE.

Results
The value obtained for the energy of formation is -400.8 meV per atom.

abc: 4.9259 4.9259 8.7040
angles: 73.56 73.56 60.00
Last column: nearest neighbours and their distance in Å.
Element x y z (fractional)
Ce: 0.8616 0.8616 0.4151  12 Ni 2.83-3.14, 3 Ce 3.17
Ce: 0.1384 0.1384 0.5849  12 Ni 2.83-3.14, 3 Ce 3.17
Er: 0.0000 0.0000 0.0000  18 Ni 2.84-3.18
Ni: 0.6671 0.6671 0.9986  6 Ni 2.46-2.47
Ni: 0.3329 0.3329 0.0014  6 Ni 2.46-2.47
Ni: 0.5000 0.5000 0.5000  6 Ni 2.54
Ni: 0.4184 0.4184 0.2447  7 Ni 2.46-2.54
Ni: 0.9184 0.4184 0.2447  7 Ni 2.46-2.54
Ni: 0.4184 0.9184 0.2447  7 Ni 2.46-2.54
Ni: 0.5816 0.5816 0.7553  7 Ni 2.46-2.54
Ni: 0.5816 0.0816 0.7553  7 Ni 2.46-2.54
Ni: 0.0816 0.5816 0.7553  7 Ni 2.46-2.54

Entry 6:
This record from Alexandria via LeMat-Bulk describes an optimized crystal structure of CeErNi. The functional is PBE.

Results
The excess energy over the best structure of this formula in the dataset comes out at 0.103 eV per atom. The value obtained for the energy of formation is -174.2 meV per atom.

abc: 3.3880 3.3880 6.5685
angles: 104.95 104.95 90.00
Last column: nearest neighbours and their distance in Å.
Element x y z (fractional)
Ni: 0.6642 0.6642 0.3283  4 Er 2.88, 4 Ce 2.93
Ce: 0.3026 0.3026 0.6053  4 Ni 2.93
Er: 0.0332 0.0332 0.0664  4 Ni 2.88

Entry 7:
This record from Alexandria via LeMat-Bulk describes an optimized crystal structure of CeEr2Ni. The functional is PBE.

Results
The excess energy over the best structure of this formula in the dataset comes out at 0.037 eV per atom. The value obtained for the energy of formation is -164.2 meV per atom.

abc: 3.3805 3.3805 8.6326
angles: 90.00 90.00 90.00
Last column: nearest neighbours and their distance in Å.
Element x y z (fractional)
Ni: 0.5000 0.5000 0.0000  8 Er 2.88
Ce: 0.5000 0.5000 0.5000  4 Ce 3.38, 8 Er 3.61
Er: 0.0000 0.0000 0.8141  4 Ni 2.88, 1 Er 3.21
Er: 0.0000 0.0000 0.1859  4 Ni 2.88, 1 Er 3.21

Entry 8:
This record from Alexandria via LeMat-Bulk describes an optimized crystal structure of CeErNi2. The functional is PBE.

Results
The value obtained for the energy of formation is -411.3 meV per atom.

abc: 3.5868 4.3387 5.3969
angles: 90.00 109.29 90.00
Last column: nearest neighbours and their distance in Å.
Element x y z (fractional)
Ce: 0.7173 0.0000 0.9736  7 Ni 2.80-2.94
Er: 0.4448 0.5000 0.4278  7 Ni 2.86-2.88
Ni: 0.1636 0.5000 0.8666  2 Ni 2.70, 3 Er 2.86-2.87, 4 Ce 2.87
Ni: 0.0053 0.0000 0.5500  2 Ni 2.70, 3 Ce 2.80-2.94, 4 Er 2.88

Entry 9:
This record from Alexandria via LeMat-Bulk describes an optimized crystal structure of CeErNi. The functional is PBE.

Results
The excess energy over the best structure of this formula in the dataset comes out at 0.179 eV per atom. The value obtained for the energy of formation is -97.8 meV per atom.

abc: 3.7206 3.7206 6.3198
angles: 90.00 90.00 120.00
Last column: nearest neighbours and their distance in Å.
Element x y z (fractional)
Ni: 0.6667 0.3333 0.3373  3 Ce 2.69, 3 Er 2.74
Ce: 0.3333 0.6667 0.5943  3 Ni 2.69
Er: 0.0000 0.0000 0.0684  3 Ni 2.74

Entry 10:
This record from Alexandria via LeMat-Bulk describes an optimized crystal structure of CeErNi. The functional is PBE.

Results
The excess energy over the best structure of this formula in the dataset comes out at 0.216 eV per atom. The value obtained for the energy of formation is -61.4 meV per atom.

abc: 4.7357 4.7357 4.7357
angles: 60.00 60.00 60.00
Last column: nearest neighbours and their distance in Å.
Element x y z (fractional)
Ni: 0.2500 0.2500 0.2500  4 Ce 2.90, 4 Er 2.90
Ce: 0.5000 0.5000 0.5000  4 Ni 2.90
Er: 0.0000 0.0000 0.0000  4 Ni 2.90

Entry 11:
This record from Alexandria via LeMat-Bulk describes an optimized crystal structure of CeErNiOs. The functional is PBE.

Results
The value obtained for the energy of formation is -278.6 meV per atom.

abc: 4.8207 4.8207 4.8207
angles: 60.00 60.00 60.00
Last column: nearest neighbours and their distance in Å.
Element x y z (fractional)
Ni: 0.2500 0.2500 0.2500  4 Ce 2.95, 4 Er 2.95
Os: 0.7500 0.7500 0.7500  4 Ce 2.95, 4 Er 2.95
Ce: 0.5000 0.5000 0.5000  4 Os 2.95, 4 Ni 2.95
Er: 0.0000 0.0000 0.0000  4 Ni 2.95, 4 Os 2.95

Entry 12:
This record from Alexandria via LeMat-Bulk describes an optimized crystal structure of CeErNiPd. The functional is PBE.

Results
The value obtained for the energy of formation is -514.5 meV per atom.

abc: 4.9102 4.9102 4.9102
angles: 60.00 60.00 60.00
Last column: nearest neighbours and their distance in Å.
Element x y z (fractional)
Ni: 0.7500 0.7500 0.7500  4 Ce 3.01, 4 Er 3.01
Pd: 0.2500 0.2500 0.2500  4 Ce 3.01, 4 Er 3.01
Ce: 0.5000 0.5000 0.5000  4 Ni 3.01, 4 Pd 3.01
Er: 0.0000 0.0000 0.0000  4 Ni 3.01, 4 Pd 3.01

Entry 13:
This record from Alexandria via LeMat-Bulk describes an optimized crystal structure of CeErNiPt. The functional is PBE.

Results
The excess energy over the best structure of this formula in the dataset comes out at 0.000 eV per atom. The value obtained for the energy of formation is -812.8 meV per atom.

abc: 3.6996 4.3220 5.6468
angles: 90.00 109.12 90.00
Last column: nearest neighbours and their distance in Å.
Element x y z (fractional)
Ce: 0.8648 0.5000 0.7297  4 Ni 2.89, 3 Pt 2.98-2.99
Er: 0.1404 0.0000 0.2809  3 Ni 2.88-3.07, 4 Pt 2.91
Ni: 0.4105 0.0000 0.8210  2 Pt 2.85, 3 Er 2.88-3.07, 4 Ce 2.89
Pt: 0.5842 0.5000 0.1685  2 Ni 2.85, 4 Er 2.91, 3 Ce 2.98-2.99

Entry 14:
This record from Alexandria via LeMat-Bulk describes an optimized crystal structure of CeErNiPt. The functional is PBE.

Results
The excess energy over the best structure of this formula in the dataset comes out at 0.106 eV per atom. The value obtained for the energy of formation is -706.7 meV per atom.

abc: 4.9051 4.9051 4.9051
angles: 60.00 60.00 60.00
Last column: nearest neighbours and their distance in Å.
Element x y z (fractional)
Ni: 0.2500 0.2500 0.2500  4 Ce 3.00, 4 Er 3.00
Ce: 0.5000 0.5000 0.5000  4 Pt 3.00, 4 Ni 3.00
Pt: 0.7500 0.7500 0.7500  4 Ce 3.00, 4 Er 3.00
Er: 0.0000 0.0000 0.0000  4 Ni 3.00, 4 Pt 3.00

Entry 15:
This record from Alexandria via LeMat-Bulk describes an optimized crystal structure of CeErNiRh. The functional is PBE.

Results
The excess energy over the best structure of this formula in the dataset comes out at 0.088 eV per atom. The value obtained for the energy of formation is -538.9 meV per atom.

abc: 4.8478 4.8478 4.8478
angles: 60.00 60.00 60.00
Last column: nearest neighbours and their distance in Å.
Element x y z (fractional)
Ni: 0.2500 0.2500 0.2500  4 Ce 2.97, 4 Er 2.97
Rh: 0.7500 0.7500 0.7500  4 Er 2.97, 4 Ce 2.97
Ce: 0.0000 0.0000 0.0000  4 Ni 2.97, 4 Rh 2.97
Er: 0.5000 0.5000 0.5000  4 Rh 2.97, 4 Ni 2.97

Entry 16:
This record from Alexandria via LeMat-Bulk describes an optimized crystal structure of CeErNiRh. The functional is PBE.

Results
The excess energy over the best structure of this formula in the dataset comes out at 0.000 eV per atom. The value obtained for the energy of formation is -627.0 meV per atom.

abc: 3.6605 4.4675 5.3413
angles: 90.00 110.04 90.00
Last column: nearest neighbours and their distance in Å.
Element x y z (fractional)
Ce: 0.8569 0.5000 0.7138  3 Rh 2.67-2.98, 4 Ni 2.95
Er: 0.1357 0.0000 0.2715  3 Ni 2.82-2.86, 4 Rh 2.92
Ni: 0.4167 0.0000 0.8333  3 Er 2.82-2.86, 2 Rh 2.84, 4 Ce 2.95
Rh: 0.5907 0.5000 0.1814  3 Ce 2.67-2.98, 2 Ni 2.84, 4 Er 2.92

Entry 17:
This record from Alexandria via LeMat-Bulk describes an optimized crystal structure of CeErNiS3. The functional is PBE.

Results
Its formation energy without anion corrections is -1680.9 meV per atom.

abc: 3.7896 7.9899 8.2816
angles: 102.01 90.00 90.00
Last column: nearest neighbours and their distance in Å.
Element x y z (fractional)
Ce: 0.2500 0.1705 0.2390  7 S 2.85-3.03, 1 Ni 3.12
Ce: 0.7500 0.8295 0.7610  7 S 2.85-3.03, 1 Ni 3.12
Er: 0.2500 0.6690 0.1749  6 S 2.65-2.77
Er: 0.7500 0.3310 0.8251  6 S 2.65-2.77
Ni: 0.2500 0.0900 0.5913  4 S 2.25-2.37
Ni: 0.7500 0.9100 0.4087  4 S 2.25-2.37
S: 0.7500 0.8988 0.1349  1 Ni 2.25
S: 0.2500 0.1012 0.8651  1 Ni 2.25
S: 0.2500 0.7883 0.4979  3 Ni 2.32-2.37
S: 0.7500 0.2117 0.5021  3 Ni 2.32-2.37
S: 0.7500 0.4219 0.1666  3 Er 2.73-2.77, 2 Ce 2.91
S: 0.2500 0.5781 0.8334  3 Er 2.73-2.77, 2 Ce 2.91

Entry 18:
This record from Alexandria via LeMat-Bulk describes an optimized crystal structure of CeErTcNi. The functional is PBE.

Results
The value obtained for the energy of formation is -180.2 meV per atom.

abc: 4.8129 4.8129 4.8129
angles: 60.00 60.00 60.00
Last column: nearest neighbours and their distance in Å.
Element x y z (fractional)
Ni: 0.5000 0.5000 0.5000  4 Er 2.95, 4 Ce 2.95
Tc: 0.0000 0.0000 0.0000  4 Ce 2.95, 4 Er 2.95
Ce: 0.2500 0.2500 0.2500  4 Tc 2.95, 4 Ni 2.95
Er: 0.7500 0.7500 0.7500  4 Tc 2.95, 4 Ni 2.95

Entry 19:
This record from Alexandria via LeMat-Bulk describes an optimized crystal structure of CeErZnNi. The functional is PBE.

Results
The value obtained for the energy of formation is -262.8 meV per atom.

abc: 4.9301 4.9301 4.9301
angles: 60.00 60.00 60.00
Last column: nearest neighbours and their distance in Å.
Element x y z (fractional)
Ni: 0.2500 0.2500 0.2500  4 Ce 3.02, 4 Er 3.02
Zn: 0.7500 0.7500 0.7500  4 Ce 3.02, 4 Er 3.02
Ce: 0.5000 0.5000 0.5000  4 Zn 3.02, 4 Ni 3.02
Er: 0.0000 0.0000 0.0000  4 Ni 3.02, 4 Zn 3.02

Entry 20:
This record from Alexandria via LeMat-Bulk describes an optimized crystal structure of CeErNp. The functional is PBE.

Results
The value obtained for the energy of formation is 283.9 meV per atom.

abc: 3.6982 6.7696 12.6644
angles: 90.00 90.00 90.00
Last column: nearest neighbours and their distance in Å.
Element x y z (fractional)
Er: 0.7500 0.2065 0.7031  4 Np 3.24-3.48, 3 Ce 3.44-3.48
Er: 0.2500 0.7065 0.7969  4 Np 3.24-3.48, 3 Ce 3.44-3.48
Er: 0.2500 0.7935 0.2969  4 Np 3.24-3.48, 3 Ce 3.44-3.48
Er: 0.7500 0.2935 0.2031  4 Np 3.24-3.48, 3 Ce 3.44-3.48
Np: 0.7500 0.0648 0.4492  2 Np 2.42, 2 Ce 2.71
Np: 0.2500 0.5648 0.0508  2 Np 2.42, 2 Ce 2.71
Np: 0.2500 0.9352 0.5508  2 Np 2.42, 2 Ce 2.71
Np: 0.7500 0.4352 0.9492  2 Np 2.42, 2 Ce 2.71
Ce: 0.7500 0.6447 0.5661  2 Np 2.71
Ce: 0.2500 0.1447 0.9339  2 Np 2.71
Ce: 0.2500 0.3553 0.4339  2 Np 2.71
Ce: 0.7500 0.8553 0.0661  2 Np 2.71

| no. | electronic total energy (eV per atom) |
| --- | --- |
| 1 | -5.129 |
| 2 | -5.610 |
| 3 | -6.101 |
| 4 | -5.703 |
| 5 | -6.106 |
| 6 | -5.600 |
| 7 | -5.374 |
| 8 | -5.926 |
| 9 | -5.524 |
| 10 | -5.487 |
| 11 | -7.156 |
| 12 | -5.882 |
| 13 | -6.393 |
| 14 | -6.286 |
| 15 | -6.446 |
| 16 | -6.534 |
| 17 | -6.458 |
| 18 | -6.841 |
| 19 | -4.651 |
| 20 | -7.529 |